--- one ---
This record from Alexandria via LeMat-Bulk describes a geometry-optimized CrReAu structure. The functional is PBE-GGA.

Results
The density of states at the Fermi level comes out at 1.41 states/eV/f.u.

Cell lengths 4.1437, 4.1437, 4.1437 Å; angles 60.00, 60.00, 60.00 degrees
Positions (direct):
Cr 0.0000 0.0000 0.0000
Re 0.2500 0.2500 0.2500
Au 0.7500 0.7500 0.7500

***

--- two ---
This record from Alexandria via LeMat-Bulk describes a geometry-optimized CrReAu structure. The functional is PBE-GGA.

Results
The density of states at the Fermi level comes out at 2.85 states/eV/f.u.

Cell lengths 7.0888, 6.8962, 2.7114 Å; angles 82.85, 74.85, 22.30 degrees
Positions (direct):
Cr 0.0000 0.0000 0.0000
Re 0.3607 0.3607 0.6393
Au 0.6724 0.6724 0.3276

***

--- three ---
This record from Alexandria via LeMat-Bulk describes a geometry-optimized CrReAu structure. The functional is PBE-GGA.

Results
The density of states at the Fermi level comes out at 2.79 states/eV/f.u.

Cell lengths 2.8326, 2.8326, 6.6677 Å; angles 90.00, 90.00, 120.00 degrees
Positions (direct):
Cr 0.0000 0.0000 0.0000
Re 0.3333 0.6667 0.2807
Au 0.6667 0.3333 0.6561

***

Referenced to the most stable arrangement, the calculated values in meV/atom are one 386; two 8; three 0.

***

--- one ---
This record from Alexandria via LeMat-Bulk describes a geometry-optimized CrReAu3 structure. The functional is PBE-GGA.

Results
The density of states at the Fermi level comes out at 7.33 states/eV/f.u.

Cell lengths 4.7690, 4.7690, 4.7690 Å; angles 90.00, 90.00, 90.00 degrees
Positions (direct):
Cr 0.0000 0.0000 0.0000
Re 0.5000 0.5000 0.5000
Au 0.0000 0.0000 0.5000
Au 0.0000 0.5000 0.0000
Au 0.5000 0.0000 0.0000

***

--- two ---
This record from Alexandria via LeMat-Bulk describes a geometry-optimized CrReAu3 structure. The functional is PBE-GGA.

Results
The density of states at the Fermi level comes out at 5.82 states/eV/f.u.

Cell lengths 4.9783, 4.9783, 4.9783 Å; angles 90.00, 90.00, 90.00 degrees
Positions (direct):
Cr 0.0000 0.0000 0.0000
Re 0.5000 0.5000 0.5000
Au 0.0000 0.5000 0.5000
Au 0.5000 0.0000 0.5000
Au 0.5000 0.5000 0.0000

***

Referenced to the most stable arrangement, the calculated values in meV/atom are one 8; two 0.

***

--- one ---
This record from Alexandria via LeMat-Bulk describes a geometry-optimized CrRhAu3 structure. The functional is PBE-GGA.

Results
The density of states at the Fermi level comes out at 4.99 states/eV/f.u.

Cell lengths 4.9895, 4.9895, 4.9895 Å; angles 90.00, 90.00, 90.00 degrees
Positions (direct):
Cr 0.0000 0.0000 0.0000
Rh 0.5000 0.5000 0.5000
Au 0.0000 0.5000 0.5000
Au 0.5000 0.0000 0.5000
Au 0.5000 0.5000 0.0000

***

--- two ---
This record from Alexandria via LeMat-Bulk describes a geometry-optimized CrRhAu3 structure. The functional is PBE-GGA.

Results
The density of states at the Fermi level comes out at 8.84 states/eV/f.u.

Cell lengths 4.7198, 4.7198, 4.7198 Å; angles 90.00, 90.00, 90.00 degrees
Positions (direct):
Cr 0.0000 0.0000 0.0000
Rh 0.5000 0.5000 0.5000
Au 0.0000 0.0000 0.5000
Au 0.0000 0.5000 0.0000
Au 0.5000 0.0000 0.0000

***

Referenced to the most stable arrangement, the calculated values in meV/atom are one 0; two 319.